--- 1 ---
AcNd2Cd: relaxed, PBE.

abc: 5.735 5.735 5.735
angles: 60.00 60.00 60.00
Fractional coordinates of all 4 atoms:
Ac (0.000, 0.000, 0.000)
Nd (0.250, 0.250, 0.250)
Nd (0.750, 0.750, 0.750)
Cd (0.500, 0.500, 0.500)

The symmetry is Fm-3m.


--- 2 ---
AcNd2Cd: relaxed, PBE.

abc: 3.808 3.808 11.509
angles: 80.48 80.48 60.00
Fractional coordinates of all 4 atoms:
Ac (0.500, 0.500, 0.500)
Nd (0.073, 0.073, 0.780)
Nd (0.260, 0.260, 0.220)
Cd (0.667, 0.667, 0.000)

The symmetry is R3m.


--- 3 ---
AcNd2Cd: relaxed, PBE.

abc: 5.191 5.079 5.079
angles: 90.00 90.00 90.00
Fractional coordinates of all 4 atoms:
Ac (0.500, 0.500, 0.500)
Nd (0.000, 0.000, 0.500)
Nd (0.000, 0.500, 0.000)
Cd (0.500, 0.000, 0.000)

The symmetry is P4/mmm.


Most stable one: 3, least stable one: 1.


--- 1 ---
AcPmNdCd: relaxed, PBE.

abc: 5.722 5.722 5.722
angles: 60.00 60.00 60.00
Fractional coordinates of all 4 atoms:
Ac (0.250, 0.250, 0.250)
Cd (0.750, 0.750, 0.750)
Nd (0.000, 0.000, 0.000)
Pm (0.500, 0.500, 0.500)

The symmetry is F-43m.


--- 2 ---
AcPmNdCd: relaxed, PBE.

abc: 3.856 3.856 9.031
angles: 90.00 90.00 90.00
Fractional coordinates of all 4 atoms:
Ac (0.000, 0.000, 0.073)
Pm (0.500, 0.500, 0.360)
Nd (0.500, 0.500, 0.783)
Cd (0.000, 0.000, 0.569)

The symmetry is P4mm.


Most stable one: 2, least stable one: 1.


--- 1 ---
AcNdSmCd: relaxed, PBE.

abc: 3.847 3.847 9.027
angles: 90.00 90.00 90.00
Fractional coordinates of all 4 atoms:
Ac (0.000, 0.000, 0.074)
Nd (0.500, 0.500, 0.783)
Sm (0.500, 0.500, 0.361)
Cd (0.000, 0.000, 0.567)

The symmetry is P4mm.


--- 2 ---
AcNdSmCd: relaxed, PBE.

abc: 5.714 5.714 5.714
angles: 60.00 60.00 60.00
Fractional coordinates of all 4 atoms:
Ac (0.250, 0.250, 0.250)
Nd (0.500, 0.500, 0.500)
Sm (0.000, 0.000, 0.000)
Cd (0.750, 0.750, 0.750)

The symmetry is F-43m.


Most stable one: 1, least stable one: 2.


--- 1 ---
AcTbNdCd: relaxed, PBE.

abc: 5.687 5.687 5.687
angles: 60.00 60.00 60.00
Fractional coordinates of all 4 atoms:
Nd (0.000, 0.000, 0.000)
Ac (0.750, 0.750, 0.750)
Tb (0.500, 0.500, 0.500)
Cd (0.250, 0.250, 0.250)

The symmetry is F-43m.


--- 2 ---
AcTbNdCd: relaxed, PBE.

abc: 3.822 3.822 9.021
angles: 90.00 90.00 90.00
Fractional coordinates of all 4 atoms:
Ac (0.000, 0.000, 0.077)
Tb (0.500, 0.500, 0.363)
Nd (0.500, 0.500, 0.783)
Cd (0.000, 0.000, 0.562)

The symmetry is P4mm.


Most stable one: 2, least stable one: 1.


--- 1 ---
Ac2CdO: relaxed, PBE.

abc: 3.450 3.450 8.453
angles: 90.00 90.00 90.00
Fractional coordinates of all 4 atoms:
Ac (0.000, 0.000, 0.798)
Ac (0.000, 0.000, 0.202)
O (0.500, 0.500, 0.000)
Cd (0.500, 0.500, 0.500)

The symmetry is P4/mmm.


--- 2 ---
Ac2CdO: relaxed, PBE.

abc: 3.972 3.972 8.613
angles: 76.67 76.67 60.00
Fractional coordinates of all 4 atoms:
Ac (0.274, 0.274, 0.177)
Ac (0.726, 0.726, 0.823)
O (0.000, 0.000, 0.000)
Cd (0.500, 0.500, 0.500)

The symmetry is R-3m.


--- 3 ---
Ac2CdO: relaxed, PBE.

abc: 5.975 5.982 7.617
angles: 90.00 113.17 90.00
Fractional coordinates of all 8 atoms:
Ac (0.234, 0.121, 0.653)
Ac (0.035, 0.621, 0.255)
Ac (0.691, 0.621, 0.652)
Ac (0.492, 0.121, 0.255)
Cd (0.863, 0.121, 0.953)
Cd (0.363, 0.621, 0.954)
O (0.363, 0.871, 0.454)
O (0.363, 0.371, 0.454)

The symmetry is P2/m.


Most stable one: 3, least stable one: 1.


--- 1 ---
Ac3CdOs: relaxed, PBE.

abc: 6.022 7.334 9.952
angles: 65.41 72.39 65.76
Fractional coordinates of all 10 atoms:
Ac (0.898, 0.984, 0.221)
Ac (0.102, 0.016, 0.779)
Ac (0.631, 0.654, 0.084)
Ac (0.369, 0.346, 0.916)
Ac (0.841, 0.671, 0.647)
Ac (0.159, 0.329, 0.353)
Cd (0.403, 0.745, 0.449)
Cd (0.597, 0.255, 0.551)
Os (0.128, 0.670, 0.075)
Os (0.872, 0.330, 0.925)

The symmetry is C2/m.


--- 2 ---
Ac3CdOs: relaxed, PBE.

abc: 5.805 5.805 5.805
angles: 90.00 90.00 90.00
Fractional coordinates of all 5 atoms:
Ac (0.000, 0.500, 0.000)
Ac (0.000, 0.000, 0.500)
Ac (0.500, 0.000, 0.000)
Os (0.000, 0.000, 0.000)
Cd (0.500, 0.500, 0.500)

The symmetry is Pm-3m.


Most stable one: 1, least stable one: 2.


--- 1 ---
Ac4Cd2P: relaxed, PBE.

abc: 4.444 7.521 8.458
angles: 73.42 74.77 72.81
Fractional coordinates of all 7 atoms:
Ac (0.091, 0.187, 0.630)
Ac (0.909, 0.813, 0.370)
Ac (0.335, 0.253, 0.077)
Ac (0.665, 0.747, 0.923)
Cd (0.383, 0.562, 0.671)
Cd (0.617, 0.438, 0.329)
P (0.000, 0.000, 0.000)

The symmetry is C2/m.


--- 2 ---
Ac4Cd2P: relaxed, PBE.

abc: 5.871 5.871 9.063
angles: 108.90 108.90 90.00
Fractional coordinates of all 7 atoms:
P (0.000, 0.000, 0.000)
Ac (0.815, 0.815, 0.629)
Ac (0.185, 0.185, 0.371)
Ac (0.000, 0.500, 0.000)
Ac (0.500, 0.000, 0.000)
Cd (0.612, 0.612, 0.225)
Cd (0.388, 0.388, 0.775)

The symmetry is I4/mmm.


Most stable one: 1, least stable one: 2.


--- 1 ---
Ac2PaCd: relaxed, PBE.

abc: 3.702 3.702 9.766
angles: 90.00 90.00 90.00
Each line ends with the local moment (μB).
Fractional coordinates of all 4 atoms:
Ac (0.000, 0.000, 0.755)  0.00
Ac (0.000, 0.000, 0.245)  0.00
Pa (0.500, 0.500, 0.500)  0.34
Cd (0.500, 0.500, 0.000)  0.00

The symmetry is P4/mmm.


--- 2 ---
Ac2PaCd: relaxed, PBE.

abc: 3.515 3.515 12.733
angles: 82.07 82.07 60.00
Fractional coordinates of all 4 atoms:
Ac (0.090, 0.090, 0.731)
Ac (0.910, 0.910, 0.269)
Pa (0.000, 0.000, 0.000)
Cd (0.500, 0.500, 0.500)

The symmetry is R-3m.


Most stable one: 1, least stable one: 2.


--- 1 ---
Ac3CdPb3: relaxed, PBE.

abc: 6.834 9.966 9.966
angles: 120.00 90.00 90.00
Fractional coordinates of all 14 atoms:
Ac (0.750, 0.686, 0.632)
Ac (0.750, 0.368, 0.054)
Ac (0.750, 0.946, 0.314)
Ac (0.250, 0.314, 0.368)
Ac (0.250, 0.632, 0.946)
Ac (0.250, 0.054, 0.686)
Cd (0.250, 0.667, 0.333)
Cd (0.750, 0.333, 0.667)
Pb (0.250, 0.698, 0.648)
Pb (0.250, 0.352, 0.051)
Pb (0.250, 0.949, 0.302)
Pb (0.750, 0.302, 0.352)
Pb (0.750, 0.648, 0.949)
Pb (0.750, 0.051, 0.698)

The symmetry is P6_3/m.


--- 2 ---
Ac3CdPb3: relaxed, PBE.

abc: 4.988 6.814 15.733
angles: 82.43 80.88 68.53
Fractional coordinates of all 14 atoms:
Ac (0.524, 0.332, 0.619)
Ac (0.476, 0.668, 0.381)
Ac (0.262, 0.249, 0.227)
Ac (0.738, 0.751, 0.773)
Ac (0.403, 0.274, 0.921)
Ac (0.597, 0.726, 0.079)
Cd (0.772, 0.068, 0.388)
Cd (0.228, 0.932, 0.612)
Pb (0.859, 0.735, 0.548)
Pb (0.141, 0.265, 0.452)
Pb (0.128, 0.820, 0.925)
Pb (0.872, 0.180, 0.075)
Pb (0.983, 0.804, 0.230)
Pb (0.017, 0.196, 0.770)

The symmetry is C2/m.


Most stable one: 2, least stable one: 1.


--- 1 ---
Ac2Cd2Pb: relaxed, PBE.

abc: 5.206 6.692 10.879
angles: 109.96 90.00 112.89
Fractional coordinates of all 10 atoms:
Ac (0.666, 0.332, 0.048)
Ac (0.407, 0.813, 0.629)
Ac (0.334, 0.668, 0.952)
Ac (0.593, 0.187, 0.371)
Cd (0.001, 0.003, 0.862)
Cd (0.904, 0.807, 0.370)
Cd (0.999, 0.997, 0.138)
Cd (0.096, 0.193, 0.630)
Pb (0.266, 0.531, 0.283)
Pb (0.734, 0.469, 0.717)

The symmetry is C2/m.


--- 2 ---
Ac2Cd2Pb: relaxed, PBE.

abc: 4.156 4.156 10.444
angles: 101.48 101.48 90.00
Fractional coordinates of all 5 atoms:
Ac (0.397, 0.397, 0.794)
Ac (0.603, 0.603, 0.206)
Cd (0.750, 0.250, 0.500)
Cd (0.250, 0.750, 0.500)
Pb (0.000, 0.000, 0.000)

The symmetry is I4/mmm.


Most stable one: 1, least stable one: 2.


--- 1 ---
Ac3CdPb2: relaxed, PBE.

abc: 6.983 7.001 9.609
angles: 102.83 111.30 90.00
Fractional coordinates of all 12 atoms:
Ac (0.659, 0.250, 0.000)
Ac (0.341, 0.750, 0.000)
Ac (0.282, 0.112, 0.347)
Ac (0.935, 0.388, 0.653)
Ac (0.065, 0.612, 0.347)
Ac (0.718, 0.888, 0.653)
Cd (0.854, 0.750, 0.000)
Cd (0.146, 0.250, 0.000)
Pb (0.553, 0.539, 0.312)
Pb (0.759, 0.039, 0.312)
Pb (0.241, 0.961, 0.688)
Pb (0.447, 0.461, 0.688)

The symmetry is C2/c.


--- 2 ---
Ac3CdPb2: relaxed, PBE.

abc: 5.005 13.093 13.466
angles: 90.00 90.00 90.00
Fractional coordinates of all 24 atoms:
Ac (0.250, 0.371, 0.046)
Ac (0.750, 0.629, 0.954)
Ac (0.750, 0.871, 0.454)
Ac (0.250, 0.129, 0.546)
Ac (0.250, 0.696, 0.211)
Ac (0.750, 0.304, 0.789)
Ac (0.750, 0.196, 0.289)
Ac (0.250, 0.804, 0.711)
Ac (0.250, 0.434, 0.366)
Ac (0.750, 0.566, 0.634)
Ac (0.750, 0.934, 0.134)
Ac (0.250, 0.066, 0.866)
Cd (0.250, 0.133, 0.138)
Cd (0.750, 0.867, 0.862)
Cd (0.750, 0.633, 0.362)
Cd (0.250, 0.367, 0.638)
Pb (0.250, 0.678, 0.490)
Pb (0.750, 0.322, 0.510)
Pb (0.750, 0.178, 0.010)
Pb (0.250, 0.822, 0.990)
Pb (0.250, 0.984, 0.317)
Pb (0.750, 0.016, 0.683)
Pb (0.750, 0.484, 0.183)
Pb (0.250, 0.516, 0.817)

The symmetry is Pnma.


Most stable one: 2, least stable one: 1.


--- 1 ---
Ac3Cd2Pb: relaxed, PBE.

abc: 4.050 4.050 12.662
angles: 90.00 90.00 90.00
Fractional coordinates of all 6 atoms:
Ac (0.000, 0.000, 0.000)
Ac (0.000, 0.000, 0.673)
Ac (0.000, 0.000, 0.327)
Cd (0.500, 0.500, 0.841)
Cd (0.500, 0.500, 0.159)
Pb (0.500, 0.500, 0.500)

The symmetry is P4/mmm.


--- 2 ---
Ac3Cd2Pb: relaxed, PBE.

abc: 4.104 5.795 9.223
angles: 108.31 90.00 90.00
Fractional coordinates of all 6 atoms:
Ac (0.500, 0.500, 0.000)
Ac (0.500, 0.832, 0.665)
Ac (0.500, 0.168, 0.335)
Cd (0.000, 0.328, 0.656)
Cd (0.000, 0.672, 0.344)
Pb (0.000, 0.000, 0.000)

The symmetry is Cmmm.


Most stable one: 2, least stable one: 1.